# Ac2Al2BOs2

A geometry-optimized Ac2Al2BOs2 structure (GGA-PBE, Alexandria).

density = 9.830 g/cm³
magnetization = 0.00 μB per formula unit
electronic total energy = -47.38 eV/cell

Lattice parameters (Å, degrees): 4.565 6.443 5.989 78.52 67.60 69.25
Positions (direct):
Al1 0.831 0.602 0.737
Al2 0.169 0.398 0.263
Ac1 0.563 0.178 0.697
Ac2 0.437 0.822 0.303
B1 0.000 0.000 0.000
Os1 0.203 0.687 0.907
Os2 0.797 0.313 0.093